GGA-PBE ZrSiH3, relaxed; DOS(E_F) = 2.7 states/eV/f.u.; energy = -4.56 eV/atom; space-group type = Pm-3m, No. 221
1.0
-3.4522 -0.5154 -1.3983
1.1028 -3.2565 -1.5225
-1.0023 -1.8080 3.1409
H Si Zr
3 1 1
Cartesian
0.5514 -1.6282 -0.7613
-1.7261 -0.2577 -0.6992
-0.5012 -0.9040 1.5705
-1.6759 -2.7899 0.1100
0.0000 0.0000 0.0000